Run A
Compound: Re3Ag
Source: Alexandria
Functional: PBE
Structure: optimized geometry

magnetization	0.0000	μB/atom
SG	No. 221

Unit cell a=3.9385 b=3.9385 c=3.9385 alpha=90.00 beta=90.00 gamma=90.00
Element x y z (fractional)
Re1 0.0000 0.0000 0.5000
Re2 0.0000 0.5000 0.0000
Re3 0.5000 0.0000 0.0000
Ag1 0.5000 0.5000 0.5000

Run B
Compound: Re3Ag
Source: Alexandria
Functional: PBE
Structure: optimized geometry

magnetization	0.0000	μB/atom
SG	No. 62

Unit cell a=4.7906 b=9.2123 c=5.5929 alpha=90.00 beta=90.00 gamma=90.00
Element x y z (fractional)
Re1 0.0930 0.2500 0.1364
Re2 0.2484 0.5099 0.8668
Re3 0.2484 0.9901 0.8668
Re4 0.2516 0.0099 0.3668
Re5 0.2516 0.4901 0.3668
Re6 0.4070 0.7500 0.6364
Re7 0.5930 0.2500 0.3636
Re8 0.7484 0.5099 0.6332
Re9 0.7484 0.9901 0.6332
Re10 0.7516 0.0099 0.1332
Re11 0.7516 0.4901 0.1332
Re12 0.9070 0.7500 0.8636
Ag1 0.0877 0.2500 0.6334
Ag2 0.4123 0.7500 0.1334
Ag3 0.5877 0.2500 0.8666
Ag4 0.9123 0.7500 0.3666

Verdict on stability: run B comes out on top.

Run A
Compound: TeMo2
Source: Alexandria
Functional: PBE
Structure: optimized geometry

magnetization	0.0000	μB/atom
SG	No. 141

Unit cell a=3.2683 b=3.2683 c=21.4554 alpha=90.00 beta=90.00 gamma=90.00
Element x y z (fractional)
Te1 0.0000 0.2500 0.3750
Te2 0.0000 0.7500 0.6250
Te3 0.5000 0.2500 0.1250
Te4 0.5000 0.7500 0.8750
Mo1 0.0000 0.2500 0.7946
Mo2 0.0000 0.2500 0.9554
Mo3 0.0000 0.7500 0.0446
Mo4 0.0000 0.7500 0.2054
Mo5 0.5000 0.2500 0.5446
Mo6 0.5000 0.2500 0.7054
Mo7 0.5000 0.7500 0.2946
Mo8 0.5000 0.7500 0.4554

Run B
Compound: TeMo2
Source: Alexandria
Functional: PBE
Structure: optimized geometry

magnetization	0.0001	μB/atom
SG	No. 225

Unit cell a=6.2352 b=6.2352 c=6.2352 alpha=90.00 beta=90.00 gamma=90.00
Element x y z (fractional)
Te1 0.0000 0.0000 0.0000
Te2 0.0000 0.5000 0.5000
Te3 0.5000 0.0000 0.5000
Te4 0.5000 0.5000 0.0000
Mo1 0.2500 0.2500 0.2500
Mo2 0.2500 0.2500 0.7500
Mo3 0.2500 0.7500 0.2500
Mo4 0.2500 0.7500 0.7500
Mo5 0.7500 0.2500 0.2500
Mo6 0.7500 0.2500 0.7500
Mo7 0.7500 0.7500 0.2500
Mo8 0.7500 0.7500 0.7500

Verdict on stability: run A comes out on top.

Run A
Compound: CaSb2Br
Source: Alexandria
Functional: PBE
Structure: optimized geometry

magnetization	0.0000	μB/atom
SG	No. 216

Unit cell a=7.7190 b=7.7190 c=7.7190 alpha=90.00 beta=90.00 gamma=90.00
Element x y z (fractional)
Ca1 0.0000 0.0000 0.0000
Ca2 0.0000 0.5000 0.5000
Ca3 0.5000 0.0000 0.5000
Ca4 0.5000 0.5000 0.0000
Sb1 0.0000 0.0000 0.5000
Sb2 0.0000 0.5000 0.0000
Sb3 0.2500 0.2500 0.2500
Sb4 0.2500 0.7500 0.7500
Sb5 0.5000 0.0000 0.0000
Sb6 0.5000 0.5000 0.5000
Sb7 0.7500 0.2500 0.7500
Sb8 0.7500 0.7500 0.2500
Br1 0.2500 0.2500 0.7500
Br2 0.2500 0.7500 0.2500
Br3 0.7500 0.2500 0.2500
Br4 0.7500 0.7500 0.7500

Run B
Compound: CaSb2Br
Source: Alexandria
Functional: PBE
Structure: optimized geometry

magnetization	0.0000	μB/atom
SG	No. 6

Unit cell a=4.1717 b=3.9791 c=7.5956 alpha=90.00 beta=105.93 gamma=90.00
Element x y z (fractional)
Ca1 0.0000 0.0000 0.0000
Sb1 0.2582 0.0000 0.5132
Sb2 0.8253 0.5000 0.6473
Br1 0.5554 0.5000 0.1105

Verdict on stability: run B comes out on top.

Run A
Compound: AlSeCl2
Source: Alexandria
Functional: PBE
Structure: optimized geometry

magnetization	0.0838	μB/atom
SG	No. 6

Unit cell a=6.6646 b=3.1304 c=7.0333 alpha=90.00 beta=117.85 gamma=90.00
Element x y z (fractional)
Al1 0.0000 0.0000 0.0000
Se1 0.9606 0.5000 0.2663
Cl1 0.2308 0.5000 0.9595
Cl2 0.6929 0.0000 0.7061

Run B
Compound: AlSeCl2
Source: Alexandria
Functional: PBE
Structure: optimized geometry

magnetization	0.0000	μB/atom
SG	No. 99

Unit cell a=3.8504 b=3.8504 c=7.7829 alpha=90.00 beta=90.00 gamma=90.00
Element x y z (fractional)
Al1 0.0000 0.0000 0.0000
Se1 0.5000 0.5000 0.0430
Cl1 0.0000 0.0000 0.7246
Cl2 0.5000 0.5000 0.3263

Verdict on stability: run A comes out on top.